Record 1
Compound: YCuSnTe3
Source: OQMD
Functional: PBE
Structure: optimized geometry

Computed properties:
Total moment ... 0.0 Bohr magnetons per cell
Energy ... -0.169 Ha/atom
ρ ... 6.33 g/cm3

a b c (Å): 4.2453 14.4750 11.1677
angles (deg): 90.00 90.00 90.00
With the nearest neighbours (Å) after each atom.
Space group Cmcm (No. 63)
Asymmetric unit:
Y 0.0000 0.0000 0.0000 x4  6 Te 3.05-3.09
Cu 0.0000 0.4696 0.2500 x4  4 Te 2.65-2.70
Sn 0.0000 0.2369 0.7500 x4  6 Te 3.23-3.34
Te 0.0000 0.0850 0.2500 x4  2 Cu 2.70
Te 0.0000 0.3537 0.0662 x8  1 Cu 2.65

=====

Record 2
Compound: YCuSnTe3
Source: OQMD
Functional: PBE
Structure: optimized geometry

Computed properties:
Total moment ... 0.0 Bohr magnetons per cell
Energy ... -0.167 Ha/atom
ρ ... 6.13 g/cm3

a b c (Å): 19.8510 4.2774 8.5545
angles (deg): 90.00 102.68 90.00
With the nearest neighbours (Å) after each atom.
Space group C2/m (No. 12)
Asymmetric unit:
Y 0.1588 0.0000 0.0817 x4  6 Te 3.04-3.14
Cu 0.0460 0.5000 0.2074 x4  4 Te 2.61-2.85
Sn 0.1198 0.0000 0.5652 x4  6 Te 3.16-3.25
Te 0.0000 0.0000 0.0000 x2  4 Cu 2.80, 2 Y 3.08
Te 0.0000 0.5000 0.5000 x2  2 Cu 2.85, 4 Sn 3.16
Te 0.1774 0.5000 0.3401 x4  1 Cu 2.61
Te 0.1790 0.5000 0.8399 x4  3 Y 3.06-3.14, 2 Sn 3.20

=====

Record 3
Compound: YCuSnTe3
Source: OQMD
Functional: PBE
Structure: optimized geometry

Computed properties:
Total moment ... 0.0 Bohr magnetons per cell
Energy ... -0.168 Ha/atom
ρ ... 6.51 g/cm3

a b c (Å): 12.3488 4.3778 12.3480
angles (deg): 90.00 90.00 90.00
With the nearest neighbours (Å) after each atom.
Space group Pnma (No. 62)
Asymmetric unit:
Y 0.0316 0.2500 0.1916 x4  7 Te 3.11-3.39
Cu 0.2319 0.7500 0.2971 x4  4 Te 2.60-2.71
Sn 0.2022 0.2500 0.4708 x4  2 Cu 3.09, 4 Te 3.26-3.30
Te 0.0347 0.7500 0.3706 x4  1 Cu 2.60
Te 0.1008 0.2500 0.9388 x4  1 Cu 2.71
Te 0.2151 0.7500 0.6876 x4  2 Cu 2.65

=====

Record 4
Compound: YCuSnTe3
Source: OQMD
Functional: PBE
Structure: optimized geometry

Computed properties:
Total moment ... 0.0 Bohr magnetons per cell
Energy ... -0.169 Ha/atom
ρ ... 6.33 g/cm3

a b c (Å): 11.1847 4.2561 14.4122
angles (deg): 90.00 90.00 90.00
With the nearest neighbours (Å) after each atom.
Space group Pnma (No. 62)
Asymmetric unit:
Y 0.0217 0.2500 0.2415 x4  6 Te 3.05-3.11, 2 Cu 3.42
Cu 0.2408 0.2500 0.7213 x4  4 Te 2.62-2.70
Sn 0.2171 0.7500 0.5095 x4  7 Te 3.20-3.41
Te 0.0465 0.2500 0.6100 x4  1 Cu 2.70
Te 0.0875 0.7500 0.0977 x4  1 Cu 2.62
Te 0.2340 0.7500 0.8358 x4  2 Cu 2.69

=====

Record 5
Compound: YCuSnTe3
Source: OQMD
Functional: PBE
Structure: optimized geometry

Computed properties:
Total moment ... 0.0 Bohr magnetons per cell
Energy ... -0.168 Ha/atom
ρ ... 6.38 g/cm3

a b c (Å): 8.8937 4.4368 17.2513
angles (deg): 90.00 90.00 90.00
With the nearest neighbours (Å) after each atom.
Space group Pnma (No. 62)
Asymmetric unit:
Y 0.2500 0.2500 0.0373 x4  7 Te 3.06-3.33
Cu 0.1254 0.2500 0.3711 x4  4 Te 2.58-2.69
Sn 0.0811 0.2500 0.7751 x4  5 Te 3.13-3.27
Te 0.0191 0.2500 0.5967 x4  2 Cu 2.62
Te 0.1143 0.7500 0.9372 x4  1 Cu 2.58
Te 0.1890 0.2500 0.2186 x4  1 Cu 2.69

=====

Record 6
Compound: YCuSnTe3
Source: OQMD
Functional: PBE
Structure: optimized geometry

Computed properties:
Total moment ... 0.0 Bohr magnetons per cell
Energy ... -0.168 Ha/atom
ρ ... 6.08 g/cm3

a b c (Å): 8.3139 4.2544 10.4568
angles (deg): 90.00 105.11 90.00
With the nearest neighbours (Å) after each atom.
Space group P2_1/m (No. 11)
Asymmetric unit:
Y 0.2040 0.2500 0.1706 x2  6 Te 3.02-3.14
Cu 0.4240 0.7500 0.4129 x2  4 Te 2.67-2.74, 2 Cu 2.87
Sn 0.2415 0.7500 0.7020 x2  6 Te 3.23-3.26
Te 0.0741 0.2500 0.8605 x2  3 Y 3.10-3.14, 2 Sn 3.23
Te 0.2444 0.2500 0.4660 x2  3 Cu 2.72-2.74, 1 Y 3.02
Te 0.4634 0.7500 0.1678 x2  1 Cu 2.67

=====

Record 7
Compound: YCuSnTe3
Source: OQMD
Functional: PBE
Structure: optimized geometry

Computed properties:
Total moment ... 0.0 Bohr magnetons per cell
Energy ... -0.169 Ha/atom
ρ ... 6.06 g/cm3

a b c (Å): 14.5107 4.2614 11.5919
angles (deg): 90.00 90.00 90.00
With the nearest neighbours (Å) after each atom.
Space group Pnma (No. 62)
Asymmetric unit:
Y 0.0091 0.2500 0.1736 x4  6 Te 3.02-3.10
Cu 0.0072 0.7500 0.4182 x4  4 Te 2.69-2.74, 2 Cu 2.86
Sn 0.2135 0.2500 0.4512 x4  6 Te 3.21-3.27, 1 Cu 3.54
Te 0.1093 0.7500 0.6119 x4  3 Cu 2.69-2.74
Te 0.1154 0.2500 0.9411 x4  3 Y 3.09-3.10, 2 Sn 3.27
Te 0.1451 0.7500 0.2598 x4  1 Cu 2.72

=====

Record 8
Compound: ThCu5Sn
Source: OQMD
Functional: PBE
Structure: optimized geometry

Computed properties:
Total moment ... 0.0 Bohr magnetons per cell
Energy ... -0.166 Ha/atom
ρ ... 9.90 g/cm3

a b c (Å): 8.3281 5.0844 10.5944
angles (deg): 90.00 90.00 90.00
With the nearest neighbours (Å) after each atom.
Space group Pnma (No. 62)
Asymmetric unit:
Th 0.2492 0.2500 0.0569 x4  6 Cu 2.87-3.14
Cu 0.0661 0.7500 0.1054 x4  4 Cu 2.55-2.60, 1 Sn 2.68
Cu 0.0708 0.0019 0.3130 x8  7 Cu 2.51-2.56, 2 Sn 2.79-2.80
Cu 0.0808 0.2500 0.5181 x4  5 Cu 2.51-2.54
Cu 0.1813 0.2500 0.7446 x4  7 Cu 2.53-2.60
Sn 0.1358 0.7500 0.8585 x4  8 Cu 2.68-2.90

=====

Record 9
Compound: TlCuSn2
Source: OQMD
Functional: PBE
Structure: optimized geometry

Computed properties:
Energy ... -0.120 Ha/atom
ρ ... 8.47 g/cm3

a b c (Å): 7.3447 7.3447 7.3447
angles (deg): 90.00 90.00 90.00
With the nearest neighbours (Å) after each atom.
Space group F-43m (No. 216)
Asymmetric unit:
Tl 0.0000 0.0000 0.0000 x4  4 Sn 3.18, 4 Cu 3.18
Cu 0.2500 0.2500 0.2500 x4  4 Tl 3.18, 4 Sn 3.18
Sn 0.0000 0.0000 0.5000 x4  4 Sn 3.18, 4 Cu 3.18
Sn 0.2500 0.2500 0.7500 x4  4 Tl 3.18, 4 Sn 3.18

=====

Record 10
Compound: TmCuSn
Source: OQMD
Functional: PBE
Structure: optimized geometry

Computed properties:
Total moment ... 0.0 Bohr magnetons per cell
Energy ... -0.169 Ha/atom
ρ ... 9.21 g/cm3

a b c (Å): 4.4991 4.4991 7.2263
angles (deg): 90.00 90.00 120.00
With the nearest neighbours (Å) after each atom.
Space group P6_3/mmc (No. 194)
Asymmetric unit:
Tm 0.0000 0.0000 0.0000 x2  6 Sn 3.16, 6 Cu 3.16
Cu 0.3333 0.6667 0.2500 x2  3 Sn 2.60
Sn 0.3333 0.6667 0.7500 x2  3 Cu 2.60

=====

Record 11
Compound: TmCuSn
Source: OQMD
Functional: PBE
Structure: optimized geometry

Computed properties:
Total moment ... 0.0 Bohr magnetons per cell
Energy ... -0.156 Ha/atom
ρ ... 8.96 g/cm3

a b c (Å): 5.0115 5.0115 5.9841
angles (deg): 90.00 90.00 120.00
With the nearest neighbours (Å) after each atom.
Space group P6_3/mmc (No. 194)
Asymmetric unit:
Tm 0.3333 0.6667 0.2500 x2  5 Sn 2.89-2.99
Cu 0.0000 0.0000 0.0000 x2  2 Cu 2.99, 6 Sn 3.26, 6 Tm 3.26
Sn 0.3333 0.6667 0.7500 x2  5 Tm 2.89-2.99

=====

Record 12
Compound: UCuSn
Source: OQMD
Functional: PBE
Structure: optimized geometry

Computed properties:
Total moment ... 5.5 Bohr magnetons per cell
Energy ... -0.216 Ha/atom
ρ ... 10.02 g/cm3

a b c (Å): 5.1166 5.1166 6.1441
angles (deg): 90.00 90.00 120.00
With the nearest neighbours (Å) after each atom.
Space group P6_3/mmc (No. 194)
Asymmetric unit:
U 0.3333 0.6667 0.2500 x2  5 Sn 2.95-3.07
Cu 0.0000 0.0000 0.0000 x2  2 Cu 3.07, 6 Sn 3.33, 6 U 3.33
Sn 0.3333 0.6667 0.7500 x2  5 U 2.95-3.07

=====

Among the records above, which one has the highest energy? TlCuSn2

=====

energy of number 10 (TmCuSn)? -0.169 Ha/atom